Below is a geometry-optimized Rb2TcBiPd structure, with properties calculated at the GGA-PBE level. Values from VASP.

```
&SYSTEM
  ibrav = 0, nat = 5, ntyp = 4
/
ATOMIC_SPECIES
Rb 85.47 Rb.upf
Tc 98.00 Tc.upf
Bi 208.98 Bi.upf
Pd 106.42 Pd.upf
CELL_PARAMETERS angstrom
6.822 0.000 0.000
0.000 6.822 0.000
0.000 0.000 4.793
ATOMIC_POSITIONS angstrom
Rb 0.000 3.411 0.000
Rb 3.411 0.000 0.000
Tc 0.000 0.000 0.000
Bi 3.411 3.411 2.397
Pd 0.000 0.000 2.397
```

SG = P4/mmm (123)
energy of formation from the pure elements = 1.0911 eV/atom

Below is a geometry-optimized K2CoSi structure, with properties calculated at the GGA-PBE level. Values from VASP.

```
&SYSTEM
  ibrav = 0, nat = 4, ntyp = 3
/
ATOMIC_SPECIES
K 39.10 K.upf
Co 58.93 Co.upf
Si 28.09 Si.upf
CELL_PARAMETERS angstrom
2.960 0.000 0.000
0.000 2.960 0.000
0.000 0.000 10.785
ATOMIC_POSITIONS angstrom
K 0.000 0.000 2.699
K 0.000 0.000 8.086
Co 1.480 1.480 0.000
Si 1.480 1.480 5.393
```

formation energy without anion corrections = 0.939 eV/atom
SG = P4/mmm (123)

Below is a geometry-optimized Pr8AsIr3I4 structure, with properties calculated at the GGA-PBE level. Values from VASP.

```
&SYSTEM
  ibrav = 0, nat = 16, ntyp = 4
/
ATOMIC_SPECIES
Pr 140.91 Pr.upf
As 74.92 As.upf
Ir 192.22 Ir.upf
I 126.90 I.upf
CELL_PARAMETERS angstrom
4.307 2.487 8.083
-4.307 2.487 8.083
0.000 -4.974 8.083
ATOMIC_POSITIONS angstrom
Pr -2.250 -1.299 13.633
Pr 0.000 0.000 5.545
Pr 0.000 -2.598 10.614
Pr -2.250 1.299 10.614
Pr 2.250 -1.299 13.633
Pr 0.000 2.598 13.633
Pr 0.000 0.000 18.703
Pr 2.250 1.299 10.614
As 0.000 0.000 12.124
Ir -4.307 0.000 12.124
Ir -2.154 1.243 4.041
Ir 2.154 1.243 4.041
I 0.000 0.000 0.000
I -2.154 -1.243 8.083
I -2.154 1.243 16.165
I 0.000 2.487 8.083
```

formation energy without anion corrections = -1.009 eV/atom
SG = R-3m (166)

Below is a geometry-optimized TbNpS2O structure, with properties calculated at the GGA-PBE level. Values from VASP.

```
&SYSTEM
  ibrav = 0, nat = 10, ntyp = 4
/
ATOMIC_SPECIES
Tb 158.93 Tb.upf
Np 237.00 Np.upf
S 32.06 S.upf
O 16.00 O.upf
CELL_PARAMETERS angstrom
3.860 0.000 0.000
0.000 3.860 0.000
0.000 0.000 13.721
ATOMIC_POSITIONS angstrom
Tb 0.965 0.965 1.639
Tb 2.895 2.895 12.083
Np 0.965 0.965 8.122
Np 2.895 2.895 5.600
S 0.965 0.965 4.264
S 0.965 0.965 12.434
S 2.895 2.895 1.287
S 2.895 2.895 9.457
O 0.965 2.895 6.861
O 2.895 0.965 6.861
```

formation energy without anion corrections = -2.238 eV/atom
SG = P4/nmm (129)